(1)
VASP calculation (PBE-GGA) on an optimized crystal structure of PmScAlPd.

abc: 4.9863 4.9863 4.9863
angles: 60.00 60.00 60.00
Atoms (fractional coordinates):
Pm1 0.0000 0.0000 0.0000
Sc1 0.5000 0.5000 0.5000
Al1 0.2500 0.2500 0.2500
Pd1 0.7500 0.7500 0.7500

Its energy of formation from the pure elements is -0.5198 eV/atom.

(2)
VASP calculation (PBE-GGA) on an optimized crystal structure of Sm3Dy2Ir2.

abc: 6.3968 6.3968 8.9065
angles: 114.11 114.11 35.60
Atoms (fractional coordinates):
Sm1 0.0000 0.0000 0.0000
Sm2 0.1168 0.1168 0.4286
Sm3 0.8832 0.8832 0.5714
Dy1 0.3298 0.3298 0.1887
Dy2 0.6702 0.6702 0.8113
Ir1 0.3175 0.3175 0.7636
Ir2 0.6825 0.6825 0.2364

Its energy of formation from the pure elements is -0.5629 eV/atom.

(3)
VASP calculation (PBE-GGA) on an optimized crystal structure of GdSc2Cu.

abc: 3.3207 3.3207 8.3244
angles: 90.00 90.00 90.00
Atoms (fractional coordinates):
Gd1 0.0000 0.0000 0.0000
Sc1 0.5000 0.5000 0.3111
Sc2 0.5000 0.5000 0.6889
Cu1 0.0000 0.0000 0.5000

Its energy of formation from the pure elements is -0.0819 eV/atom.

(4)
VASP calculation (PBE-GGA) on an optimized crystal structure of Rb2NaZrI6.

abc: 15.6135 15.6135 15.6135
angles: 31.31 31.31 31.31
Atoms (fractional coordinates):
Rb1 0.1344 0.1344 0.1344
Rb2 0.3049 0.3049 0.3049
Rb3 0.6951 0.6951 0.6951
Rb4 0.8656 0.8656 0.8656
Na1 0.4164 0.4164 0.4164
Na2 0.5836 0.5836 0.5836
Zr1 0.0000 0.0000 0.0000
Zr2 0.5000 0.5000 0.5000
I1 0.1304 0.6280 0.6280
I2 0.2015 0.2015 0.7124
I3 0.2015 0.7124 0.2015
I4 0.2876 0.7985 0.7985
I5 0.3720 0.3720 0.8696
I6 0.3720 0.8696 0.3720
I7 0.6280 0.1304 0.6280
I8 0.6280 0.6280 0.1304
I9 0.7124 0.2015 0.2015
I10 0.7985 0.2876 0.7985
I11 0.7985 0.7985 0.2876
I12 0.8696 0.3720 0.3720

The uncorrected formation energy is -1.16 eV per atom.

(5)
VASP calculation (PBE-GGA) on an optimized crystal structure of KScV2B.

abc: 5.0568 5.0568 4.6404
angles: 90.00 90.00 90.00
Atoms (fractional coordinates):
K1 0.0000 0.0000 0.0000
Sc1 0.5000 0.5000 0.5000
V1 0.0000 0.5000 0.5000
V2 0.5000 0.0000 0.5000
B1 0.5000 0.5000 0.0000

Its energy of formation from the pure elements is 1.7675 eV/atom.

(6)
VASP calculation (PBE-GGA) on an optimized crystal structure of LiFe2SbPd.

abc: 4.1600 4.1600 4.5113
angles: 90.00 90.00 90.00
Atoms (fractional coordinates):
Li1 0.0000 0.0000 0.0000
Fe1 0.0000 0.5000 0.0000
Fe2 0.5000 0.0000 0.0000
Sb1 0.0000 0.0000 0.5000
Pd1 0.5000 0.5000 0.5000

The uncorrected formation energy is 0.72 eV per atom.

(7)
VASP calculation (PBE-GGA) on an optimized crystal structure of Mg2Al2Cu.

abc: 6.4930 6.4930 4.3995
angles: 90.00 90.00 90.00
Atoms (fractional coordinates):
Mg1 0.1662 0.3338 0.0000
Mg2 0.3338 0.8338 0.0000
Mg3 0.6662 0.1662 0.0000
Mg4 0.8338 0.6662 0.0000
Al1 0.1432 0.6432 0.5000
Al2 0.3568 0.1432 0.5000
Al3 0.6432 0.8568 0.5000
Al4 0.8568 0.3568 0.5000
Cu1 0.0000 0.0000 0.5000
Cu2 0.5000 0.5000 0.5000

Its energy of formation from the pure elements is 0.0040 eV/atom.

(8)
VASP calculation (PBE-GGA) on an optimized crystal structure of BaMgAg2.

abc: 4.8455 7.6479 6.3104
angles: 90.00 90.00 90.00
Atoms (fractional coordinates):
Ba1 0.2500 0.2500 0.1419
Ba2 0.7500 0.7500 0.8581
Mg1 0.2500 0.7500 0.3597
Mg2 0.7500 0.2500 0.6403
Ag1 0.2500 0.0537 0.6290
Ag2 0.2500 0.4463 0.6290
Ag3 0.7500 0.5537 0.3710
Ag4 0.7500 0.9463 0.3710

Its energy of formation from the pure elements is -0.2399 eV/atom.